4
Lattice="3.104 0.000 0.000 0.000 3.869 0.000 0.000 0.000 8.963" Properties=species:S:1:pos:R:3 comment="Sr2IrOs, relaxed, DFT PBE" formation_energy_ev_per_atom=0.350 density_g_cm3=8.6 volume_a3_per_atom=26.91 relative_energy_ev_per_atom=0.2863 total_energy_ev_per_fu=-22.1 crystal_system=orthorhombic magmom_total_mub_per_fu=0.00 dos_at_fermi_per_ev_cell=4.34 pbc="T T T"
Sr 0.000 0.000 0.000
Sr 1.552 1.935 3.704
Ir 0.000 0.000 5.912
Os 1.552 1.935 6.712